Entry 1:
A relaxed structure of BaPdSO. Source: OQMD via LeMat-Bulk, functional PBE.

Values from the calculation:
The calculation puts the energy above the most stable polymorph in this dataset at 166 meV per atom.

```
BaPdSO
1.0
4.169 0.000 0.000
-2.085 3.611 0.000
0.000 0.000 11.409
O Pd S Ba
2 2 2 2
direct
0.000 0.000 0.838
0.000 0.000 0.338
0.000 0.000 0.022
0.000 0.000 0.522
0.333 0.667 0.056
0.667 0.333 0.556
0.333 0.667 0.771
0.667 0.333 0.271
```

=====

Entry 2:
A relaxed structure of BaPdSO. Source: OQMD via LeMat-Bulk, functional PBE.

Values from the calculation:
The calculation puts the energy above the most stable polymorph in this dataset at 126 meV per atom.

```
BaPdSO
1.0
0.748 3.887 4.799
-2.819 0.102 -5.545
-5.186 -2.207 2.595
S Pd O Ba
2 2 2 2
direct
0.404 0.596 0.947
0.596 0.404 0.447
0.027 0.973 0.392
0.973 0.027 0.892
0.886 0.114 0.609
0.114 0.886 0.109
0.319 0.681 0.445
0.681 0.319 0.945
```

=====

Entry 3:
A relaxed structure of BaPdSO. Source: OQMD via LeMat-Bulk, functional PBE.

Values from the calculation:
The calculation puts the energy above the most stable polymorph in this dataset at 363 meV per atom.

```
BaPdSO
1.0
4.319 0.000 0.000
0.000 4.319 0.000
0.000 0.000 8.861
Ba Pd S O
2 2 2 2
direct
0.250 0.250 0.795
0.750 0.750 0.205
0.250 0.250 0.435
0.750 0.750 0.565
0.250 0.250 0.153
0.750 0.750 0.847
0.750 0.250 0.500
0.250 0.750 0.500
```

=====

Entry 4:
A relaxed structure of BaPdSO. Source: OQMD via LeMat-Bulk, functional PBE.

Values from the calculation:
The calculation puts the energy above the most stable polymorph in this dataset at 126 meV per atom.

```
BaPdSO
1.0
8.019 0.000 0.000
0.000 6.563 0.000
0.000 0.000 7.209
Ba O Pd S
4 4 4 4
direct
0.350 0.678 0.093
0.650 0.178 0.407
0.150 0.322 0.593
0.850 0.822 0.907
0.411 0.456 0.389
0.911 0.044 0.611
0.089 0.544 0.889
0.589 0.956 0.111
0.531 0.164 0.919
0.031 0.336 0.081
0.469 0.664 0.581
0.969 0.836 0.419
0.099 0.039 0.209
0.401 0.961 0.709
0.901 0.539 0.291
0.599 0.461 0.791
```

=====

Entry 5:
A relaxed structure of BaPdSO. Source: OQMD via LeMat-Bulk, functional PBE.

Values from the calculation:
The calculation puts the energy above the most stable polymorph in this dataset at 452 meV per atom.

```
BaPdSO
1.0
-3.187 1.265 0.749
0.360 -2.412 5.606
1.465 6.864 2.858
Ba Pd O S
2 2 2 2
direct
0.865 0.750 0.270
0.135 0.250 0.730
0.580 0.750 0.840
0.420 0.250 0.160
0.000 0.000 0.000
0.000 0.500 0.000
0.183 0.750 0.635
0.817 0.250 0.365
```

=====

Entry 6:
A relaxed structure of BaPdSO. Source: OQMD via LeMat-Bulk, functional PBE.

Values from the calculation:
The calculation puts the energy above the most stable polymorph in this dataset at 105 meV per atom.

```
BaPdSO
1.0
-0.143 -0.505 -7.117
-5.299 -5.423 0.491
-4.542 4.418 -0.223
Ba O S Pd
4 4 4 4
direct
0.424 0.169 0.044
0.924 0.831 0.044
0.576 0.831 0.544
0.076 0.169 0.544
0.427 0.133 0.456
0.927 0.867 0.456
0.573 0.867 0.956
0.073 0.133 0.956
0.667 0.489 0.213
0.833 0.489 0.713
0.167 0.511 0.213
0.333 0.511 0.713
0.414 0.646 0.037
0.586 0.354 0.537
0.086 0.646 0.537
0.914 0.354 0.037
```

=====

Entry 7:
A relaxed structure of BaPdSO. Source: OQMD via LeMat-Bulk, functional PBE.

Values from the calculation:
The calculation puts the energy above the most stable polymorph in this dataset at 844 meV per atom.

```
BaPdSO
1.0
6.123 0.000 0.000
0.000 6.123 0.000
0.000 0.000 6.001
O Pd Ba S
2 2 2 2
direct
0.750 0.750 0.552
0.250 0.250 0.448
0.750 0.750 0.224
0.250 0.250 0.776
0.250 0.750 0.000
0.750 0.250 0.000
0.750 0.750 0.836
0.250 0.250 0.164
```

=====

Entry 8:
A relaxed structure of BaPdSO. Source: OQMD via LeMat-Bulk, functional PBE.

Values from the calculation:
The calculation puts the energy above the most stable polymorph in this dataset at 105 meV per atom.

```
BaPdSO
1.0
-1.849 -5.602 -2.102
3.146 -2.029 2.641
-7.652 -0.695 8.581
Pd Ba O S
4 4 4 4
direct
0.242 0.500 0.277
0.758 0.000 0.723
0.742 0.500 0.223
0.258 0.000 0.777
0.791 0.000 0.430
0.209 0.500 0.570
0.291 0.000 0.070
0.709 0.500 0.930
0.540 0.000 0.863
0.960 0.500 0.363
0.040 0.000 0.637
0.460 0.500 0.137
0.703 0.500 0.653
0.297 0.000 0.347
0.203 0.500 0.847
0.797 0.000 0.153
```

=====

Which final energy belongs to each record? In order, -21.11 -21.27 -20.32 -21.27 -19.97 -21.36 -18.40 -21.36 eV/f.u..